Record 1
Entry from Alexandria via LeMat-Bulk: an optimized crystal structure of RbNaTiOs2 (PBE-GGA).

a = 4.654 Å, b = 4.654 Å, c = 5.926 Å
α = 90.00°, β = 90.00°, γ = 90.00°
Space group P4/mmm (No. 123)
One atom of each set of equivalent atoms:
Rb1 0.000 0.000 0.000 (multiplicity 1)
Na1 0.500 0.500 0.000 (multiplicity 1)
Ti1 0.000 0.000 0.500 (multiplicity 1)
Os1 0.000 0.500 0.500 (multiplicity 2)

Final energy in eV/atom: -5.13

***

Record 2
Entry from Alexandria via LeMat-Bulk: an optimized crystal structure of CdIr (PBE-GGA).

a = 6.158 Å, b = 6.940 Å, c = 7.289 Å
α = 90.00°, β = 90.00°, γ = 90.00°
Space group P2_12_12_1 (No. 19)
One atom of each set of equivalent atoms:
Cd1 0.078 0.198 0.492 (multiplicity 4)
Cd2 0.192 0.562 0.695 (multiplicity 4)
Ir1 0.092 0.083 0.102 (multiplicity 4)
Ir2 0.190 0.827 0.331 (multiplicity 4)

Final energy in eV/atom: -4.71

***

Record 3
Entry from Alexandria via LeMat-Bulk: an optimized crystal structure of RbNbFeTePd (PBE-GGA).

a = 4.2038 Å, b = 4.2038 Å, c = 8.3149 Å
α = 90.00°, β = 90.00°, γ = 120.00°
Space group P3m1 (No. 156)
One atom of each set of equivalent atoms:
Rb1 0.0000 0.0000 0.0000 (multiplicity 1)
Nb1 0.3333 0.6667 0.5566 (multiplicity 1)
Fe1 0.0000 0.0000 0.5229 (multiplicity 1)
Te1 0.6667 0.3333 0.3450 (multiplicity 1)
Pd1 0.6667 0.3333 0.7096 (multiplicity 1)

Energy above the lowest structure with this stoichiometry in meV per atom: 19
Final energy in eV/atom: -5.58
Formation energy (no corrections) in eV/f.u.: -0.055

***

Record 4
Entry from Alexandria via LeMat-Bulk: an optimized crystal structure of Li2PrMg2Tl2 (PBE-GGA).

a = 4.8237 Å, b = 4.8237 Å, c = 24.9846 Å
α = 90.00°, β = 90.00°, γ = 120.00°
Space group R-3m (No. 166, hexagonal axes)
One atom of each set of equivalent atoms:
Li1 0.0000 0.0000 0.0704 (multiplicity 6)
Pr1 0.0000 0.0000 0.5000 (multiplicity 3)
Mg1 0.0000 0.0000 0.3630 (multiplicity 6)
Tl1 0.0000 0.0000 0.2405 (multiplicity 6)

Final energy in eV/atom: -2.60

***

Record 5
Entry from Alexandria via LeMat-Bulk: an optimized crystal structure of Bi3PtAu (PBE-GGA).

a = 9.558 Å, b = 6.851 Å, c = 8.839 Å
α = 90.00°, β = 117.34°, γ = 90.00°
Space group C2/m (No. 12)
One atom of each set of equivalent atoms:
Bi1 0.023 0.000 0.264 (multiplicity 4)
Bi2 0.197 0.500 0.311 (multiplicity 4)
Bi3 0.219 0.500 0.893 (multiplicity 4)
Pt1 0.000 0.287 0.000 (multiplicity 4)
Au1 0.000 0.302 0.500 (multiplicity 4)

Energy above the lowest structure with this stoichiometry in meV per atom: 0
Final energy in eV/atom: -4.25

***

Record 6
Entry from Alexandria via LeMat-Bulk: an optimized crystal structure of Ta2AgHOs (PBE-GGA).

a = 4.134 Å, b = 4.134 Å, c = 4.027 Å
α = 90.00°, β = 90.00°, γ = 90.00°
Space group P4/mmm (No. 123)
One atom of each set of equivalent atoms:
Ta1 0.000 0.500 0.000 (multiplicity 2)
Ag1 0.000 0.000 0.500 (multiplicity 1)
H1 0.500 0.500 0.000 (multiplicity 1)
Os1 0.500 0.500 0.500 (multiplicity 1)

Final energy in eV/atom: -8.11

***

Record 7
Entry from Alexandria via LeMat-Bulk: an optimized crystal structure of LiPr2V (PBE-GGA).

a = 3.3264 Å, b = 3.3264 Å, c = 34.7339 Å
α = 90.00°, β = 90.00°, γ = 120.00°
Space group R-3m (No. 166, hexagonal axes)
One atom of each set of equivalent atoms:
Li1 0.0000 0.0000 0.0000 (multiplicity 3)
Pr1 0.0000 0.0000 0.4195 (multiplicity 6)
V1 0.0000 0.0000 0.5000 (multiplicity 3)

Final energy in eV/atom: -4.47

***

Record 8
Entry from Alexandria via LeMat-Bulk: an optimized crystal structure of Tb6Er12Th (PBE-GGA).

a = 15.1560 Å, b = 15.1560 Å, c = 9.6385 Å
α = 90.00°, β = 90.00°, γ = 120.00°
Space group R-3m (No. 166, hexagonal axes)
One atom of each set of equivalent atoms:
Tb1 0.0441 0.5220 0.1968 (multiplicity 18)
Er1 0.0000 0.3920 0.5000 (multiplicity 18)
Er2 0.0695 0.1391 0.2993 (multiplicity 18)
Th1 0.0000 0.0000 0.0000 (multiplicity 3)

Energy above the lowest structure with this stoichiometry in meV per atom: 322
Final energy in eV/atom: -4.26

***

Record 9
Entry from Alexandria via LeMat-Bulk: an optimized crystal structure of PaI4Cl2 (PBE-GGA).

a = 7.033 Å, b = 7.542 Å, c = 7.596 Å
α = 62.46°, β = 74.94°, γ = 81.00°
Space group P-1 (No. 2)
One atom of each set of equivalent atoms:
Pa1 0.000 0.000 0.000 (multiplicity 1)
I1 0.194 0.356 0.957 (multiplicity 2)
I2 0.274 0.729 0.253 (multiplicity 2)
Cl1 0.239 0.009 0.688 (multiplicity 2)

Energy above the lowest structure with this stoichiometry in meV per atom: 0
Final energy in eV/atom: -3.80
Formation energy (no corrections) in eV/f.u.: -7.227

***

Record 10
Entry from Alexandria via LeMat-Bulk: an optimized crystal structure of InCu2Br (PBE-GGA).

a = 6.595 Å, b = 6.595 Å, c = 8.403 Å
α = 90.00°, β = 90.00°, γ = 90.00°
Space group I-42d (No. 122)
One atom of each set of equivalent atoms:
In1 0.000 0.000 0.000 (multiplicity 4)
Cu1 0.237 0.250 0.625 (multiplicity 8)
Br1 0.000 0.000 0.500 (multiplicity 4)

Energy above the lowest structure with this stoichiometry in meV per atom: 197
Final energy in eV/atom: -2.95
Formation energy (no corrections) in eV/f.u.: 0.791

***

Record 11
Entry from Alexandria via LeMat-Bulk: an optimized crystal structure of KMg (PBE-GGA).

a = 6.4047 Å, b = 6.4047 Å, c = 7.4130 Å
α = 90.00°, β = 90.00°, γ = 120.00°
Space group P6_3/mmc (No. 194)
One atom of each set of equivalent atoms:
K1 0.3333 0.6667 0.2500 (multiplicity 2)
Mg1 0.3333 0.6667 0.7500 (multiplicity 2)

Final energy in eV/atom: -0.80

***

Record 12
Entry from Alexandria via LeMat-Bulk: an optimized crystal structure of Pr5Nd2Tm5 (PBE-GGA).

a = 15.356 Å, b = 5.085 Å, c = 11.484 Å
α = 90.00°, β = 116.71°, γ = 90.00°
Space group C2/m (No. 12)
One atom of each set of equivalent atoms:
Pr1 0.000 0.000 0.000 (multiplicity 2)
Pr2 0.165 0.000 0.498 (multiplicity 4)
Pr3 0.249 0.000 0.247 (multiplicity 4)
Nd1 0.082 0.000 0.752 (multiplicity 4)
Tm1 0.000 0.500 0.500 (multiplicity 2)
Tm2 0.082 0.500 0.248 (multiplicity 4)
Tm3 0.167 0.500 0.001 (multiplicity 4)

Final energy in eV/atom: -4.63